CrBI2O: relaxed, PBEsol.

## Properties
Fermi-level density of states: 2.06 states/eV/cell
ΔE_f (raw): 0.3019 eV/atom
DFT total energy: -4.9064 eV/atom

Geometry as POSCAR:
```
CrBI2O
1.0
5.5474 0.0000 0.0000
0.0000 5.5474 0.0000
0.0000 0.0000 3.0247
Cr B I O
1 1 2 1
Cartesian
0.0000 0.0000 0.0000
2.7737 2.7737 1.5123
0.0000 2.7737 1.5123
2.7737 0.0000 1.5123
2.7737 2.7737 0.0000
```